Crystalline NaBeH at its relaxed geometry, computed with PBE.

Cell lengths 2.900, 2.900, 9.038 Å; angles 90.00, 90.00, 90.00 degrees
Fractional coordinates of all 6 atoms:
Na  0.250  0.250  0.192
Na  0.750  0.750  0.808
Be  0.250  0.250  0.558
Be  0.750  0.750  0.442
H  0.250  0.250  0.717
H  0.750  0.750  0.283

## Properties
Distance to the lowest polymorph of the same formula   0.000 eV/atom
Calculated volume   12.67 Å³ per atom